# 1
An optimized crystal structure of Ca2Th, computed with PBE-GGA.

- ΔH_f (0 K) (eV per atom) = 0.250

a = 6.0131 Å, b = 6.0131 Å, c = 3.4542 Å
α = 90.00°, β = 90.00°, γ = 120.00°
Space group P-3m1 (No. 164)
Symmetry-distinct sites (fractional):
Ca1 0.3333 0.6667 0.0013 [2 per cell]
Th1 0.0000 0.0000 0.5000 [1 per cell]

---

# 2
An optimized crystal structure of ZrHgSb2, computed with PBE-GGA.

- VASP energy (eV per atom) = -4.365

a = 4.058 Å, b = 4.951 Å, c = 10.360 Å
α = 90.00°, β = 90.00°, γ = 90.00°
Space group Cmm2 (No. 35)
Symmetry-distinct sites (fractional):
Zr1 0.000 0.000 0.000 [2 per cell]
Hg1 0.000 0.500 0.786 [2 per cell]
Sb1 0.000 0.000 0.558 [2 per cell]
Sb2 0.000 0.500 0.214 [2 per cell]

---

# 3
An optimized crystal structure of SnHg, computed with PBE-GGA.

- ΔH_f (0 K) (eV per atom) = 0.100

a = 5.793 Å, b = 12.596 Å, c = 4.990 Å
α = 90.00°, β = 90.00°, γ = 90.00°
Space group Pmmn (No. 59, origin choice 2)
Symmetry-distinct sites (fractional):
Sn1 0.250 0.025 0.116 [4 per cell]
Sn2 0.250 0.750 0.143 [2 per cell]
Hg1 0.250 0.250 0.919 [2 per cell]
Hg2 0.250 0.604 0.618 [4 per cell]

---

# 4
An optimized crystal structure of Ca4H2O5, computed with PBE-GGA.

- VASP energy (eV per atom) = -6.058

a = 3.4735 Å, b = 3.4735 Å, c = 13.3681 Å
α = 90.00°, β = 90.00°, γ = 120.00°
Space group P-3m1 (No. 164)
Symmetry-distinct sites (fractional):
Ca1 0.0000 0.0000 0.1882 [2 per cell]
Ca2 0.3333 0.6667 0.6036 [2 per cell]
H1 0.3333 0.6667 0.9742 [2 per cell]
O1 0.0000 0.0000 0.5000 [1 per cell]
O2 0.3333 0.6667 0.2926 [2 per cell]
O3 0.3333 0.6667 0.9014 [2 per cell]

---

| no. | density of states at the Fermi level (states/eV per atom) |
| --- | --- |
| 1 | 1.90 |
| 2 | 0.55 |
| 3 | 0.38 |
| 4 | 0.00 |